(1)
First-principles (PBE) data for a relaxed structure of TcGe2Bi, as listed in the Alexandria database.

a b c (Å): 8.8051 8.8051 8.8051
angles (deg): 148.05 148.05 45.82
Positions (direct):
1 Tc 0.0000 0.0000 0.0000
2 Tc 0.7500 0.2500 0.5000
3 Ge 0.0023 0.6250 0.8773
4 Ge 0.3750 0.2523 0.3773
5 Ge 0.7477 0.1250 0.1227
6 Ge 0.8750 0.9977 0.6227
7 Bi 0.2500 0.7500 0.5000
8 Bi 0.5000 0.5000 0.0000

As for the density: 7.88 Mg/m³. Its energy of formation is 0.44 eV/atom.


(2)
First-principles (PBE) data for a relaxed structure of H4Br, as listed in the Alexandria database.

a b c (Å): 4.8176 4.8176 4.8176
angles (deg): 115.09 115.09 98.73
Positions (direct):
1 H 0.0000 0.4230 0.4230
2 H 0.0000 0.5770 0.5770
3 H 0.4230 0.0000 0.4230
4 H 0.5770 0.0000 0.5770
5 Br 0.0000 0.0000 0.0000

Its final energy is -14.1 eV/cell. As for the density: 1.66 Mg/m³.


(3)
First-principles (PBE) data for a relaxed structure of K2Rb4GeAs2, as listed in the Alexandria database.

a b c (Å): 9.3940 9.3940 5.1854
angles (deg): 105.94 105.94 71.34
Positions (direct):
1 K 0.1483 0.1483 0.1491
2 K 0.8517 0.8517 0.8509
3 Rb 0.1716 0.5667 0.3688
4 Rb 0.4333 0.8284 0.6312
5 Rb 0.5667 0.1716 0.3688
6 Rb 0.8284 0.4333 0.6312
7 Ge 0.5000 0.5000 0.0000
8 As 0.3104 0.3104 0.8102
9 As 0.6896 0.6896 0.1898

As for the density: 2.61 Mg/m³. Its energy of formation is -0.09 eV/atom.


(4)
First-principles (PBE) data for a relaxed structure of RbHf2SbRu, as listed in the Alexandria database.

a b c (Å): 5.0171 5.0171 5.6322
angles (deg): 90.00 90.00 90.00
Positions (direct):
1 Rb 0.0000 0.0000 0.0000
2 Hf 0.0000 0.5000 0.5000
3 Hf 0.5000 0.0000 0.5000
4 Sb 0.5000 0.5000 0.0000
5 Ru 0.0000 0.0000 0.5000

The value obtained for the formation energy (no corrections) is 0.67 eV per atom. As for the density: 7.79 Mg/m³.